Entry one
MgSc3Co, relaxed, DFT PBE; calculated density = 3.36 g/cm3; DOS at the Fermi energy = 9.99 states/eV per cell
1.0
8.0318 0.0000 0.0000
0.0000 3.4484 0.0000
-3.9091 0.0000 7.7843
Mg Sc Co
2 6 2
Direct
0.1908 0.2500 0.1150 Mg
0.8092 0.7500 0.8850 Mg
0.1288 0.7500 0.7851 Sc
0.2794 0.7500 0.4636 Sc
0.4670 0.2500 0.8229 Sc
0.5330 0.7500 0.1771 Sc
0.7206 0.2500 0.5364 Sc
0.8712 0.2500 0.2149 Sc
0.1123 0.2500 0.5648 Co
0.8877 0.7500 0.4352 Co

Entry two
MgSc3Co, relaxed, DFT PBE; calculated density = 3.11 g/cm3; DOS at the Fermi energy = 10.10 states/eV per cell
1.0
4.8829 0.0000 0.0000
0.0000 4.8829 0.0000
0.0000 0.0000 4.8829
Mg Sc Co
1 3 1
Direct
0.0000 0.0000 0.0000 Mg
0.0000 0.5000 0.5000 Sc
0.5000 0.0000 0.5000 Sc
0.5000 0.5000 0.0000 Sc
0.5000 0.5000 0.5000 Co

Which of them is most stable, and which least? Most stable: entry one; least stable: entry two.

Entry one
Mg2ScTlCo, relaxed, DFT PBE; calculated density = 4.19 g/cm3; DOS at the Fermi energy = 4.02 states/eV per cell
1.0
5.7551 0.0000 0.0000
0.0000 5.7551 0.0000
0.0000 0.0000 4.2668
Mg Sc Tl Co
2 1 1 1
Direct
0.0000 0.5000 0.0000 Mg
0.5000 0.0000 0.0000 Mg
0.0000 0.0000 0.0000 Sc
0.5000 0.5000 0.5000 Tl
0.0000 0.0000 0.5000 Co

Entry two
Mg2ScTlCo, relaxed, DFT PBE; calculated density = 5.26 g/cm3; DOS at the Fermi energy = 3.38 states/eV per cell
1.0
4.9544 0.0000 0.0000
0.0000 4.9544 0.0000
0.0000 0.0000 4.5923
Mg Sc Tl Co
2 1 1 1
Direct
0.0000 0.5000 0.0000 Mg
0.5000 0.0000 0.0000 Mg
0.0000 0.0000 0.5000 Sc
0.5000 0.5000 0.5000 Tl
0.0000 0.0000 0.0000 Co

Which of them is most stable, and which least? Most stable: entry two; least stable: entry one.

Entry one
TmMgScCo, relaxed, DFT PBE; calculated density = 6.22 g/cm3; DOS at the Fermi energy = 2.19 states/eV per cell
1.0
0.0000 3.4106 3.4106
3.4106 0.0000 3.4106
3.4106 3.4106 0.0000
Tm Mg Sc Co
1 1 1 1
Direct
0.0000 0.0000 0.0000 Tm
0.7500 0.7500 0.7500 Mg
0.5000 0.5000 0.5000 Sc
0.2500 0.2500 0.2500 Co

Entry two
TmMgScCo, relaxed, DFT PBE; calculated density = 5.91 g/cm3; DOS at the Fermi energy = 3.04 states/eV per cell
1.0
3.2578 0.0000 0.0000
0.0000 3.2578 0.0000
0.0000 0.0000 7.8598
Tm Mg Sc Co
1 1 1 1
Direct
0.0000 0.0000 0.0000 Tm
0.5000 0.5000 0.3152 Mg
0.0000 0.0000 0.6032 Sc
0.5000 0.5000 0.7859 Co

Which of them is most stable, and which least? Most stable: entry two; least stable: entry one.

Entry one
MgCo2Se, relaxed, DFT PBE; calculated density = 6.22 g/cm3; DOS at the Fermi energy = 5.67 states/eV per cell
1.0
1.4880 0.8591 7.6995
-1.4880 0.8591 7.6995
0.0000 -1.7182 7.6995
Mg Co Se
1 2 1
Direct
0.0000 0.0000 0.0000 Mg
0.2403 0.2403 0.2403 Co
0.7597 0.7597 0.7597 Co
0.5000 0.5000 0.5000 Se

Entry two
MgCo2Se, relaxed, DFT PBE; calculated density = 6.87 g/cm3; DOS at the Fermi energy = 4.21 states/eV per cell
1.0
4.0258 0.0000 0.0000
0.0000 4.0258 0.0000
0.0000 0.0000 3.2962
Mg Co Se
1 2 1
Direct
0.0000 0.0000 0.0000 Mg
0.0000 0.5000 0.5000 Co
0.5000 0.0000 0.5000 Co
0.5000 0.5000 0.0000 Se

Which of them is most stable, and which least? Most stable: entry two; least stable: entry one.

Entry one
MgCo2Se, relaxed, DFT PBE; calculated density = 5.74 g/cm3; DOS at the Fermi energy = 3.61 states/eV per cell
1.0
4.6883 -1.5165 0.0000
4.6883 1.5165 0.0000
-0.9089 0.0000 4.4955
Mg Co Se
1 2 1
Direct
0.0000 0.0000 0.0000 Mg
0.1616 0.1616 0.5670 Co
0.4559 0.4559 0.5129 Co
0.7719 0.7719 0.2897 Se

Entry two
MgCo2Se, relaxed, DFT PBE; calculated density = 5.64 g/cm3; DOS at the Fermi energy = 3.16 states/eV per cell
1.0
3.4550 0.0000 0.0000
0.0000 3.4830 0.0000
-0.0082 0.0000 5.4055
Mg Co Se
1 2 1
Direct
0.0000 0.0000 0.0000 Mg
0.0000 0.5000 0.3978 Co
0.5003 0.0000 0.3988 Co
0.5004 0.5000 0.7359 Se

Entry three
MgCo2Se, relaxed, DFT PBE; calculated density = 6.90 g/cm3; DOS at the Fermi energy = 1.74 states/eV per cell
1.0
0.0000 2.9847 2.9847
2.9847 0.0000 2.9847
2.9847 2.9847 0.0000
Mg Co Se
1 2 1
Direct
0.0000 0.0000 0.0000 Mg
0.2500 0.2500 0.2500 Co
0.7500 0.7500 0.7500 Co
0.5000 0.5000 0.5000 Se

Which of them is most stable, and which least? Most stable: entry two; least stable: entry three.

Entry one
Mg3CoSe, relaxed, DFT PBE; calculated density = 2.87 g/cm3; DOS at the Fermi energy = 2.16 states/eV per cell
1.0
4.9586 0.0000 0.0000
0.0000 4.9586 0.0000
0.0000 0.0000 4.9586
Mg Co Se
3 1 1
Direct
0.0000 0.0000 0.5000 Mg
0.0000 0.5000 0.0000 Mg
0.5000 0.0000 0.0000 Mg
0.5000 0.5000 0.5000 Co
0.0000 0.0000 0.0000 Se

Entry two
Mg3CoSe, relaxed, DFT PBE; calculated density = 3.20 g/cm3; DOS at the Fermi energy = 4.86 states/eV per cell
1.0
4.7815 0.0000 0.0000
0.0000 4.7815 0.0000
0.0000 0.0000 4.7815
Mg Co Se
3 1 1
Direct
0.0000 0.0000 0.5000 Mg
0.0000 0.5000 0.0000 Mg
0.5000 0.0000 0.0000 Mg
0.0000 0.0000 0.0000 Co
0.5000 0.5000 0.5000 Se

Which of them is most stable, and which least? Most stable: entry two; least stable: entry one.

Entry one
MgCo2Se2, relaxed, DFT PBE; calculated density = 6.46 g/cm3; DOS at the Fermi energy = 9.20 states/eV per cell
1.0
6.8320 0.0000 0.0000
0.0000 6.8320 0.0000
0.0000 0.0000 3.3043
Mg Co Se
2 4 4
Direct
0.0000 0.0000 0.0000 Mg
0.5000 0.5000 0.0000 Mg
0.1259 0.3741 0.0000 Co
0.3741 0.8741 0.0000 Co
0.6259 0.1259 0.0000 Co
0.8741 0.6259 0.0000 Co
0.1742 0.6742 0.5000 Se
0.3258 0.1742 0.5000 Se
0.6742 0.8258 0.5000 Se
0.8258 0.3258 0.5000 Se

Entry two
MgCo2Se2, relaxed, DFT PBE; calculated density = 6.32 g/cm3; DOS at the Fermi energy = 8.52 states/eV per cell
1.0
6.9839 0.0000 0.0000
0.0000 6.9839 0.0000
0.0000 0.0000 3.2312
Mg Co Se
2 4 4
Direct
0.0000 0.0000 0.0000 Mg
0.5000 0.5000 0.0000 Mg
0.1319 0.3681 0.5000 Co
0.3681 0.8681 0.5000 Co
0.6319 0.1319 0.5000 Co
0.8681 0.6319 0.5000 Co
0.1630 0.6630 0.0000 Se
0.3370 0.1630 0.0000 Se
0.6630 0.8370 0.0000 Se
0.8370 0.3370 0.0000 Se

Which of them is most stable, and which least? Most stable: entry one; least stable: entry two.

Entry one
MgCo2Se2, relaxed, DFT PBE; calculated density = 6.12 g/cm3; DOS at the Fermi energy = 2.11 states/eV per cell
1.0
-2.2941 2.2941 3.8687
2.2941 -2.2941 3.8687
2.2941 2.2941 -3.8687
Mg Co Se
1 2 2
Direct
0.0000 0.0000 0.0000 Mg
0.3470 0.3470 0.0000 Co
0.6530 0.6530 0.0000 Co
0.2500 0.7500 0.5000 Se
0.7500 0.2500 0.5000 Se

Entry two
MgCo2Se2, relaxed, DFT PBE; calculated density = 5.79 g/cm3; DOS at the Fermi energy = 3.63 states/eV per cell
1.0
-1.8525 1.8525 6.2678
1.8525 -1.8525 6.2678
1.8525 1.8525 -6.2678
Mg Co Se
1 2 2
Direct
0.0000 0.0000 0.0000 Mg
0.2500 0.7500 0.5000 Co
0.7500 0.2500 0.5000 Co
0.3649 0.3649 0.0000 Se
0.6351 0.6351 0.0000 Se

Which of them is most stable, and which least? Most stable: entry two; least stable: entry one.

Entry one
Mg3CoSi, relaxed, DFT PBE; calculated density = 2.22 g/cm3; DOS at the Fermi energy = 10.04 states/eV per cell
1.0
4.9304 0.0000 0.0000
0.0000 4.9304 0.0000
0.0000 0.0000 4.9304
Mg Co Si
3 1 1
Direct
0.0000 0.0000 0.5000 Mg
0.0000 0.5000 0.0000 Mg
0.5000 0.0000 0.0000 Mg
0.5000 0.5000 0.5000 Co
0.0000 0.0000 0.0000 Si

Entry two
Mg3CoSi, relaxed, DFT PBE; calculated density = 2.50 g/cm3; DOS at the Fermi energy = 3.93 states/eV per cell
1.0
4.7367 0.0000 0.0000
0.0000 4.7367 0.0000
0.0000 0.0000 4.7367
Mg Co Si
3 1 1
Direct
0.0000 0.0000 0.5000 Mg
0.0000 0.5000 0.0000 Mg
0.5000 0.0000 0.0000 Mg
0.0000 0.0000 0.0000 Co
0.5000 0.5000 0.5000 Si

Which of them is most stable, and which least? Most stable: entry two; least stable: entry one.

Entry one
Sm6MgCo2, relaxed, DFT PBE; calculated density = 7.20 g/cm3; DOS at the Fermi energy = 18.11 states/eV per cell
1.0
-4.7722 4.9469 5.0996
4.7722 -4.9469 5.0996
4.7722 4.9469 -5.0996
Sm Mg Co
12 2 4
Direct
0.0305 0.2348 0.7958 Sm
0.1829 0.2847 0.4676 Sm
0.1829 0.7153 0.8982 Sm
0.3201 0.0053 0.6852 Sm
0.3201 0.6348 0.3148 Sm
0.4390 0.2348 0.2042 Sm
0.5610 0.7652 0.7958 Sm
0.6799 0.3652 0.6852 Sm
0.6799 0.9947 0.3148 Sm
0.8171 0.2847 0.1018 Sm
0.8171 0.7153 0.5324 Sm
0.9695 0.7652 0.2042 Sm
0.0000 0.0000 0.0000 Mg
0.5000 0.5000 0.0000 Mg
0.1121 0.6121 0.5000 Co
0.3265 0.0000 0.3265 Co
0.6735 0.0000 0.6735 Co
0.8879 0.3879 0.5000 Co

Entry two
Sm6MgCo2, relaxed, DFT PBE; calculated density = 7.31 g/cm3; DOS at the Fermi energy = 11.14 states/eV per cell
1.0
5.1796 -2.5398 0.0000
5.1796 2.5398 0.0000
-2.0588 0.0000 9.0129
Sm Mg Co
6 1 2
Direct
0.0337 0.0337 0.3501 Sm
0.2904 0.2904 0.6618 Sm
0.3371 0.3371 0.1288 Sm
0.6629 0.6629 0.8712 Sm
0.7096 0.7096 0.3382 Sm
0.9663 0.9663 0.6499 Sm
0.0000 0.0000 0.0000 Mg
0.3897 0.3897 0.4160 Co
0.6103 0.6103 0.5840 Co

Which of them is most stable, and which least? Most stable: entry one; least stable: entry two.

Entry one
Sm4MgCo2, relaxed, DFT PBE; calculated density = 6.75 g/cm3; DOS at the Fermi energy = 14.21 states/eV per cell
1.0
6.9632 0.0000 0.0000
-0.4350 7.2498 0.0000
-1.5855 -1.3611 7.2423
Sm Mg Co
8 2 4
Direct
0.0000 0.0000 0.0000 Sm
0.0295 0.3810 0.3805 Sm
0.3962 0.3960 0.0450 Sm
0.4709 0.1049 0.6447 Sm
0.5338 0.8965 0.1038 Sm
0.5844 0.5745 0.5125 Sm
0.8729 0.4838 0.9101 Sm
0.9126 0.9760 0.4913 Sm
0.1919 0.7585 0.2881 Mg
0.2109 0.7036 0.7286 Mg
0.2878 0.1297 0.3030 Co
0.6311 0.2346 0.3428 Co
0.7186 0.2258 0.0497 Co
0.7740 0.6285 0.2328 Co

Entry two
Sm4MgCo2, relaxed, DFT PBE; calculated density = 7.21 g/cm3; DOS at the Fermi energy = 14.11 states/eV per cell
1.0
5.1945 0.0000 0.0000
-2.5973 4.4986 0.0000
0.0000 0.0000 14.6576
Sm Mg Co
8 2 4
Direct
0.0000 0.0000 0.0000 Sm
0.0000 0.0000 0.5000 Sm
0.3333 0.6667 0.1188 Sm
0.3333 0.6667 0.3812 Sm
0.3333 0.6667 0.7500 Sm
0.6667 0.3333 0.2500 Sm
0.6667 0.3333 0.6188 Sm
0.6667 0.3333 0.8812 Sm
0.0000 0.0000 0.2500 Mg
0.0000 0.0000 0.7500 Mg
0.3333 0.6667 0.5622 Co
0.3333 0.6667 0.9378 Co
0.6667 0.3333 0.0622 Co
0.6667 0.3333 0.4378 Co

Which of them is most stable, and which least? Most stable: entry one; least stable: entry two.

Entry one
Sm2MgCo, relaxed, DFT PBE; calculated density = 6.44 g/cm3; DOS at the Fermi energy = 3.69 states/eV per cell
1.0
3.4730 0.0000 0.0000
0.0000 3.4730 0.0000
0.0000 0.0000 8.2052
Sm Mg Co
2 1 1
Direct
0.0000 0.0000 0.2028 Sm
0.0000 0.0000 0.7972 Sm
0.5000 0.5000 0.5000 Mg
0.5000 0.5000 0.0000 Co

Entry two
Sm2MgCo, relaxed, DFT PBE; calculated density = 5.75 g/cm3; DOS at the Fermi energy = 3.14 states/eV per cell
1.0
1.9390 1.1195 8.5204
-1.9390 1.1195 8.5204
0.0000 -2.2390 8.5204
Sm Mg Co
2 1 1
Direct
0.0000 0.0000 0.0000 Sm
0.2145 0.2145 0.2145 Sm
0.7735 0.7735 0.7735 Mg
0.6079 0.6079 0.6079 Co

Which of them is most stable, and which least? Most stable: entry one; least stable: entry two.